(1)
First-principles (PBEsol) data for crystalline TmPaTc2 at its relaxed geometry, as listed in Alexandria.

Structure (POSCAR):
```
TmPaTc2
1.0
0.000 3.357 3.357
3.357 0.000 3.357
3.357 3.357 0.000
Tm Pa Tc
1 1 2
Direct
0.000 0.000 0.000 Tm
0.500 0.500 0.500 Pa
0.250 0.250 0.250 Tc
0.750 0.750 0.750 Tc
```

Properties
**Space group**: No. 225
**Calculated total energy**: -0.3521 Ha/atom
**Total magnetization**: 0.0 Bohr magnetons per cell
**Calculated volume**: 75.6 Å³ per cell
**Formation energy from the elements**: -64 kJ/mol of formula units

***

(2)
First-principles (PBEsol) data for crystalline CsNb4Cl11 at its relaxed geometry, as listed in Alexandria.

Structure (POSCAR):
```
CsNb4Cl11
1.0
16.046 0.000 0.000
0.000 6.918 0.000
0.000 0.000 6.827
Cs Nb Cl
2 8 22
Direct
0.250 0.000 0.013 Cs
0.750 0.000 0.987 Cs
0.000 0.285 0.500 Nb
0.000 0.715 0.500 Nb
0.142 0.500 0.623 Nb
0.358 0.500 0.623 Nb
0.500 0.285 0.500 Nb
0.500 0.715 0.500 Nb
0.642 0.500 0.377 Nb
0.858 0.500 0.377 Nb
0.077 0.248 0.813 Cl
0.077 0.752 0.813 Cl
0.084 0.000 0.368 Cl
0.086 0.500 0.292 Cl
0.250 0.266 0.488 Cl
0.250 0.500 0.904 Cl
0.250 0.734 0.488 Cl
0.414 0.500 0.292 Cl
0.416 0.000 0.368 Cl
0.423 0.248 0.813 Cl
0.423 0.752 0.813 Cl
0.577 0.248 0.187 Cl
0.577 0.752 0.187 Cl
0.584 0.000 0.632 Cl
0.586 0.500 0.708 Cl
0.750 0.266 0.512 Cl
0.750 0.500 0.096 Cl
0.750 0.734 0.512 Cl
0.914 0.500 0.708 Cl
0.916 0.000 0.632 Cl
0.923 0.248 0.187 Cl
0.923 0.752 0.187 Cl
```

Properties
**Space group**: No. 51
**Calculated total energy**: -0.2039 Ha/atom
**Total magnetization**: 0.0 Bohr magnetons per cell
**Calculated volume**: 757.9 Å³ per cell
**Formation energy from raw total energies**: -1404 meV per atom

***

(3)
First-principles (PBEsol) data for crystalline Ba3MgSn at its relaxed geometry, as listed in Alexandria.

Structure (POSCAR):
```
Ba3MgSn
1.0
6.318 0.000 0.000
0.000 6.318 0.000
0.000 0.000 6.318
Ba Mg Sn
3 1 1
Direct
0.000 0.000 0.500 Ba
0.000 0.500 0.000 Ba
0.500 0.000 0.000 Ba
0.000 0.000 0.000 Mg
0.500 0.500 0.500 Sn
```

Properties
**Space group**: No. 221
**Calculated total energy**: -0.0805 Ha/atom
**Total magnetization**: 0.0 Bohr magnetons per cell
**Calculated volume**: 252.2 Å³ per cell
**Formation energy from the elements**: 142 kJ/mol of formula units

***

(4)
First-principles (PBEsol) data for crystalline KRhO2F at its relaxed geometry, as listed in Alexandria.

Structure (POSCAR):
```
KRhO2F
1.0
3.777 0.000 0.000
0.000 3.777 0.000
0.000 0.000 4.618
K Rh O F
1 1 2 1
Direct
0.000 0.000 0.000 K
0.500 0.500 0.500 Rh
0.000 0.500 0.500 O
0.500 0.000 0.500 O
0.500 0.500 0.000 F
```

Properties
**Space group**: No. 123
**Calculated total energy**: -0.2064 Ha/atom
**Total magnetization**: 0.0 Bohr magnetons per cell
**Calculated volume**: 65.9 Å³ per cell
**Formation energy from raw total energies**: -1276 meV per atom

***

(5)
First-principles (PBEsol) data for crystalline MgSnRh2 at its relaxed geometry, as listed in Alexandria.

Structure (POSCAR):
```
MgSnRh2
1.0
0.000 3.132 3.132
3.132 0.000 3.132
3.132 3.132 0.000
Mg Sn Rh
1 1 2
Direct
0.000 0.000 0.000 Mg
0.500 0.500 0.500 Sn
0.250 0.250 0.250 Rh
0.750 0.750 0.750 Rh
```

Properties
**Space group**: No. 225
**Calculated total energy**: -0.2276 Ha/atom
**Total magnetization**: 0.0 Bohr magnetons per cell
**Calculated volume**: 61.4 Å³ per cell
**Formation energy from the elements**: -243 kJ/mol of formula units

***

(6)
First-principles (PBEsol) data for crystalline MnCuNF2 at its relaxed geometry, as listed in Alexandria.

Structure (POSCAR):
```
MnCuNF2
1.0
3.761 0.000 0.000
0.000 3.761 0.000
0.000 0.000 3.926
Mn Cu N F
1 1 1 2
Direct
0.000 0.000 0.000 Mn
0.500 0.500 0.500 Cu
0.500 0.500 0.000 N
0.000 0.500 0.500 F
0.500 0.000 0.500 F
```

Properties
**Space group**: No. 123
**Calculated total energy**: -0.2037 Ha/atom
**Total magnetization**: 4.3 Bohr magnetons per cell
**Calculated volume**: 55.5 Å³ per cell
**Formation energy from raw total energies**: -248 meV per atom

***

(7)
First-principles (PBEsol) data for crystalline InGeP3 at its relaxed geometry, as listed in Alexandria.

Structure (POSCAR):
```
InGeP3
1.0
4.931 0.000 0.000
0.000 4.931 0.000
0.000 0.000 4.931
In Ge P
1 1 3
Direct
0.000 0.000 0.000 In
0.500 0.500 0.500 Ge
0.000 0.000 0.500 P
0.000 0.500 0.000 P
0.500 0.000 0.000 P
```

Properties
**Space group**: No. 221
**Calculated total energy**: -0.1396 Ha/atom
**Total magnetization**: 0.0 Bohr magnetons per cell
**Calculated volume**: 119.9 Å³ per cell
**Formation energy from the elements**: 608 kJ/mol of formula units

***

(8)
First-principles (PBEsol) data for crystalline RbIn3Si at its relaxed geometry, as listed in Alexandria.

Structure (POSCAR):
```
RbIn3Si
1.0
5.888 0.000 0.000
0.000 5.888 0.000
0.000 0.000 5.888
Rb In Si
1 3 1
Direct
0.000 0.000 0.000 Rb
0.000 0.000 0.500 In
0.000 0.500 0.000 In
0.500 0.000 0.000 In
0.500 0.500 0.500 Si
```

Properties
**Space group**: No. 221
**Calculated total energy**: -0.0611 Ha/atom
**Total magnetization**: 0.0 Bohr magnetons per cell
**Calculated volume**: 204.2 Å³ per cell
**Formation energy from raw total energies**: 1481 meV per atom

***

(9)
First-principles (PBEsol) data for crystalline BaCaZr2N at its relaxed geometry, as listed in Alexandria.

Structure (POSCAR):
```
BaCaZr2N
1.0
5.203 0.000 0.000
0.000 5.203 0.000
0.000 0.000 6.011
Ba Ca Zr N
1 1 2 1
Direct
0.000 0.000 0.000 Ba
0.000 0.000 0.500 Ca
0.000 0.500 0.000 Zr
0.500 0.000 0.000 Zr
0.500 0.500 0.500 N
```

Properties
**Space group**: No. 123
**Calculated total energy**: -0.1340 Ha/atom
**Total magnetization**: 1.5 Bohr magnetons per cell
**Calculated volume**: 162.7 Å³ per cell
**Formation energy from raw total energies**: 2551 meV per atom

***

(10)
First-principles (PBEsol) data for crystalline BaMn2Rh at its relaxed geometry, as listed in Alexandria.

Structure (POSCAR):
```
BaMn2Rh
1.0
2.168 1.252 5.709
-2.168 1.252 5.709
0.000 -2.503 5.709
Ba Mn Rh
1 2 1
Direct
0.000 0.000 0.000 Ba
0.518 0.518 0.518 Mn
0.816 0.816 0.816 Mn
0.183 0.183 0.183 Rh
```

Properties
**Space group**: No. 160
**Calculated total energy**: -0.2588 Ha/atom
**Total magnetization**: 6.9 Bohr magnetons per cell
**Calculated volume**: 92.9 Å³ per cell
**Formation energy from the elements**: 159 kJ/mol of formula units

***

(11)
First-principles (PBEsol) data for crystalline LiTlCu at its relaxed geometry, as listed in Alexandria.

Structure (POSCAR):
```
LiTlCu
1.0
0.000 3.057 3.057
3.057 0.000 3.057
3.057 3.057 0.000
Li Tl Cu
1 1 1
Direct
0.000 0.000 0.000 Li
0.500 0.500 0.500 Tl
0.250 0.250 0.250 Cu
```

Properties
**Space group**: No. 216
**Calculated total energy**: -0.1060 Ha/atom
**Total magnetization**: 0.0 Bohr magnetons per cell
**Calculated volume**: 57.1 Å³ per cell
**Formation energy from the elements**: 27 kJ/mol of formula units

***

(12)
First-principles (PBEsol) data for crystalline CrWSe4 at its relaxed geometry, as listed in Alexandria.

Structure (POSCAR):
```
CrWSe4
1.0
0.000 3.841 3.841
3.841 0.000 3.841
3.841 3.841 0.000
Cr W Se
1 1 4
Direct
0.000 0.000 0.000 Cr
0.250 0.250 0.250 W
0.125 0.625 0.625 Se
0.625 0.125 0.625 Se
0.625 0.625 0.125 Se
0.625 0.625 0.625 Se
```

Properties
**Space group**: No. 216
**Calculated total energy**: -0.1912 Ha/atom
**Total magnetization**: 1.9 Bohr magnetons per cell
**Calculated volume**: 113.3 Å³ per cell
**Formation energy from raw total energies**: 1372 meV per atom

***

(13)
First-principles (PBEsol) data for crystalline ZrBePd at its relaxed geometry, as listed in Alexandria.

Structure (POSCAR):
```
ZrBePd
1.0
1.695 -4.887 0.000
1.695 4.887 0.000
0.000 0.000 5.326
Zr Be Pd
2 2 2
Direct
0.201 0.799 0.750 Zr
0.799 0.201 0.250 Zr
0.094 0.906 0.250 Be
0.906 0.094 0.750 Be
0.500 0.500 0.000 Pd
0.500 0.500 0.500 Pd
```

Properties
**Space group**: No. 63
**Calculated total energy**: -0.2535 Ha/atom
**Total magnetization**: 0.0 Bohr magnetons per cell
**Calculated volume**: 88.2 Å³ per cell
**Formation energy from the elements**: -159 kJ/mol of formula units

***

(14)
First-principles (PBEsol) data for crystalline Li2ScSi at its relaxed geometry, as listed in Alexandria.

Structure (POSCAR):
```
Li2ScSi
1.0
0.000 3.175 3.175
3.175 0.000 3.175
3.175 3.175 0.000
Li Sc Si
2 1 1
Direct
0.000 0.000 0.000 Li
0.250 0.250 0.250 Li
0.500 0.500 0.500 Sc
0.750 0.750 0.750 Si
```

Properties
**Space group**: No. 216
**Calculated total energy**: -0.1625 Ha/atom
**Total magnetization**: 0.0 Bohr magnetons per cell
**Calculated volume**: 64.0 Å³ per cell
**Formation energy from raw total energies**: -349 meV per atom

***

(15)
First-principles (PBEsol) data for crystalline KCa2Sb at its relaxed geometry, as listed in Alexandria.

Structure (POSCAR):
```
KCa2Sb
1.0
0.000 4.070 4.070
4.070 0.000 4.070
4.070 4.070 0.000
K Ca Sb
1 2 1
Direct
0.000 0.000 0.000 K
0.250 0.250 0.250 Ca
0.500 0.500 0.500 Ca
0.750 0.750 0.750 Sb
```

Properties
**Space group**: No. 216
**Calculated total energy**: -0.0989 Ha/atom
**Total magnetization**: 0.0 Bohr magnetons per cell
**Calculated volume**: 134.8 Å³ per cell
**Formation energy from raw total energies**: -203 meV per atom

***

(16)
First-principles (PBEsol) data for crystalline CuAg2Pt at its relaxed geometry, as listed in Alexandria.

Structure (POSCAR):
```
CuAg2Pt
1.0
4.563 -1.399 0.000
4.563 1.399 0.000
-1.023 0.000 4.680
Cu Ag Pt
1 2 1
Direct
0.000 0.000 0.000 Cu
0.504 0.504 0.512 Ag
0.746 0.746 0.263 Ag
0.261 0.261 0.779 Pt
```

Properties
**Space group**: No. 8
**Calculated total energy**: -0.1637 Ha/atom
**Total magnetization**: 0.0 Bohr magnetons per cell
**Calculated volume**: 59.7 Å³ per cell
**Formation energy from the elements**: 10 kJ/mol of formula units

***

(17)
First-principles (PBEsol) data for crystalline TlPN2F at its relaxed geometry, as listed in Alexandria.

Structure (POSCAR):
```
TlPN2F
1.0
4.277 0.000 0.000
0.000 4.277 0.000
0.000 0.000 4.267
Tl P N F
1 1 2 1
Direct
0.000 0.000 0.000 Tl
0.500 0.500 0.500 P
0.000 0.500 0.000 N
0.500 0.000 0.000 N
0.000 0.000 0.500 F
```

Properties
**Space group**: No. 123
**Calculated total energy**: -0.1446 Ha/atom
**Total magnetization**: 0.6 Bohr magnetons per cell
**Calculated volume**: 78.1 Å³ per cell
**Formation energy from raw total energies**: 1545 meV per atom

***

(18)
First-principles (PBEsol) data for crystalline WBrF3 at its relaxed geometry, as listed in Alexandria.

Structure (POSCAR):
```
WBrF3
1.0
4.067 0.000 0.000
0.000 4.067 0.000
0.000 0.000 4.067
W Br F
1 1 3
Direct
0.000 0.000 0.000 W
0.500 0.500 0.500 Br
0.000 0.000 0.500 F
0.000 0.500 0.000 F
0.500 0.000 0.000 F
```

Properties
**Space group**: No. 221
**Calculated total energy**: -0.2028 Ha/atom
**Total magnetization**: 0.0 Bohr magnetons per cell
**Calculated volume**: 67.3 Å³ per cell
**Formation energy from raw total energies**: -1226 meV per atom

***

(19)
First-principles (PBEsol) data for crystalline Tl2SiAu at its relaxed geometry, as listed in Alexandria.

Structure (POSCAR):
```
Tl2SiAu
1.0
-2.359 2.359 3.899
2.359 -2.359 3.899
2.359 2.359 -3.899
Tl Si Au
2 1 1
Direct
0.250 0.750 0.500 Tl
0.750 0.250 0.500 Tl
0.000 0.000 0.000 Si
0.500 0.500 0.000 Au
```

Properties
**Space group**: No. 139
**Calculated total energy**: -0.1240 Ha/atom
**Total magnetization**: 0.0 Bohr magnetons per cell
**Calculated volume**: 86.8 Å³ per cell
**Formation energy from raw total energies**: 358 meV per atom

***

(20)
First-principles (PBEsol) data for crystalline K2CaOs at its relaxed geometry, as listed in Alexandria.

Structure (POSCAR):
```
K2CaOs
1.0
3.427 0.000 0.000
0.000 3.427 0.000
0.000 0.000 11.736
K Ca Os
2 1 1
Direct
0.000 0.000 0.000 K
0.500 0.500 0.360 K
0.500 0.500 0.683 Ca
0.000 0.000 0.549 Os
```

Properties
**Space group**: No. 99
**Calculated total energy**: -0.1201 Ha/atom
**Total magnetization**: 1.0 Bohr magnetons per cell
**Calculated volume**: 137.8 Å³ per cell
**Formation energy from the elements**: 342 kJ/mol of formula units